[1]
# PBE-GGA BTeAu2, relaxed
# uncorrected formation energy = 1.03 eV/atom
# total moment = 0.00 Bohr magnetons per cell
data_BTeAu2
_chemical_formula_sum 'B4 Te4 Au8'
_symmetry_space_group_name_H-M 'F m -3 m'
_symmetry_Int_Tables_number 225
_symmetry_space_group_name_Hall '-F 4 2 3'
_cell_length_a 6.7265
_cell_length_b 6.7265
_cell_length_c 6.7265
_cell_angle_alpha 90.00
_cell_angle_beta 90.00
_cell_angle_gamma 90.00
loop_
_atom_site_label
_atom_site_type_symbol
_atom_site_fract_x
_atom_site_fract_y
_atom_site_fract_z
_atom_site_occupancy
B1 B 0.0000 0.0000 0.0000 1
Te1 Te 0.0000 0.0000 0.5000 1
Au1 Au 0.2500 0.2500 0.2500 1

---

[2]
# PBE-GGA BTe2Au, relaxed
# uncorrected formation energy = 1.08 eV/atom
# total moment = 0.00 Bohr magnetons per cell
data_BTe2Au
_chemical_formula_sum 'B4 Te8 Au4'
_symmetry_space_group_name_H-M 'F m -3 m'
_symmetry_Int_Tables_number 225
_symmetry_space_group_name_Hall '-F 4 2 3'
_cell_length_a 6.9720
_cell_length_b 6.9720
_cell_length_c 6.9720
_cell_angle_alpha 90.00
_cell_angle_beta 90.00
_cell_angle_gamma 90.00
loop_
_atom_site_label
_atom_site_type_symbol
_atom_site_fract_x
_atom_site_fract_y
_atom_site_fract_z
_atom_site_occupancy
B1 B 0.0000 0.0000 0.0000 1
Te1 Te 0.2500 0.2500 0.2500 1
Au1 Au 0.0000 0.0000 0.5000 1

---

[3]
# PBE-GGA BTe2WAu, relaxed
# uncorrected formation energy = 1.08 eV/atom
# total moment = 0.00 Bohr magnetons per cell
data_BTe2WAu
_chemical_formula_sum 'B1 Te2 W1 Au1'
_symmetry_space_group_name_H-M 'P 4/m m m'
_symmetry_Int_Tables_number 123
_symmetry_space_group_name_Hall '-P 4 2'
_cell_length_a 4.8422
_cell_length_b 4.8422
_cell_length_c 4.2572
_cell_angle_alpha 90.00
_cell_angle_beta 90.00
_cell_angle_gamma 90.00
loop_
_atom_site_label
_atom_site_type_symbol
_atom_site_fract_x
_atom_site_fract_y
_atom_site_fract_z
_atom_site_occupancy
B1 B 0.0000 0.0000 0.0000 1
Te1 Te 0.0000 0.5000 0.0000 1
W1 W 0.0000 0.0000 0.5000 1
Au1 Au 0.5000 0.5000 0.5000 1

---

[4]
# PBE-GGA ZnB2TeAu, relaxed
# uncorrected formation energy = 0.94 eV/atom
# total moment = 0.00 Bohr magnetons per cell
data_ZnB2TeAu
_chemical_formula_sum 'Zn1 B2 Te1 Au1'
_symmetry_space_group_name_H-M 'P 4/m m m'
_symmetry_Int_Tables_number 123
_symmetry_space_group_name_Hall '-P 4 2'
_cell_length_a 4.1224
_cell_length_b 4.1224
_cell_length_c 5.6328
_cell_angle_alpha 90.00
_cell_angle_beta 90.00
_cell_angle_gamma 90.00
loop_
_atom_site_label
_atom_site_type_symbol
_atom_site_fract_x
_atom_site_fract_y
_atom_site_fract_z
_atom_site_occupancy
Zn1 Zn 0.0000 0.0000 0.0000 1
B1 B 0.0000 0.5000 0.5000 1
Te1 Te 0.5000 0.5000 0.0000 1
Au1 Au 0.0000 0.0000 0.5000 1

---

[5]
# PBE-GGA ThBAu, relaxed
# total moment = 0.00 Bohr magnetons per cell
# calculated formation energy = -0.405 eV per atom
data_ThBAu
_chemical_formula_sum 'Th4 B4 Au4'
_symmetry_space_group_name_H-M 'C 1 2/m 1'
_symmetry_Int_Tables_number 12
_cell_length_a 9.3001
_cell_length_b 3.8742
_cell_length_c 6.9187
_cell_angle_alpha 90.00
_cell_angle_beta 101.98
_cell_angle_gamma 90.00
loop_
_symmetry_equiv_pos_as_xyz
'x,y,z'
'-x,-y,-z'
'-x,y,-z'
'x,-y,z'
'x+1/2,y+1/2,z'
'-x+1/2,-y+1/2,-z'
'-x+1/2,y+1/2,-z'
'x+1/2,-y+1/2,z'
loop_
_atom_site_label
_atom_site_type_symbol
_atom_site_fract_x
_atom_site_fract_y
_atom_site_fract_z
_atom_site_occupancy
Th1 Th 0.1139 0.0000 0.3034 1
B1 B 0.0827 0.5000 0.5676 1
Au1 Au 0.1341 0.5000 0.9195 1

---

[6]
# PBE-GGA TiBAu, relaxed
# total moment = 0.00 Bohr magnetons per cell
# calculated formation energy = -0.240 eV per atom
data_TiBAu
_chemical_formula_sum 'Ti2 B2 Au2'
_symmetry_space_group_name_H-M 'P m m 2'
_symmetry_Int_Tables_number 25
_cell_length_a 3.2735
_cell_length_b 4.5940
_cell_length_c 5.5532
_cell_angle_alpha 90.00
_cell_angle_beta 90.00
_cell_angle_gamma 90.00
loop_
_symmetry_equiv_pos_as_xyz
'x,y,z'
'-x,-y,z'
'-x,y,z'
'x,-y,z'
loop_
_atom_site_label
_atom_site_type_symbol
_atom_site_fract_x
_atom_site_fract_y
_atom_site_fract_z
_atom_site_occupancy
Ti1 Ti 0.0000 0.0000 0.0000 1
Ti2 Ti 0.0000 0.5000 0.3787 1
B1 B 0.5000 0.1914 0.2214 1
Au1 Au 0.5000 0.0000 0.5927 1
Au2 Au 0.5000 0.5000 0.8895 1

---

[7]
# PBE-GGA TiBAu3, relaxed
# total moment = 1.07 Bohr magnetons per cell
# calculated formation energy = 1.520 eV per atom
data_TiBAu3
_chemical_formula_sum 'Ti1 B1 Au3'
_symmetry_space_group_name_H-M 'P m -3 m'
_symmetry_Int_Tables_number 221
_symmetry_space_group_name_Hall '-P 4 2 3'
_cell_length_a 5.0185
_cell_length_b 5.0185
_cell_length_c 5.0185
_cell_angle_alpha 90.00
_cell_angle_beta 90.00
_cell_angle_gamma 90.00
loop_
_atom_site_label
_atom_site_type_symbol
_atom_site_fract_x
_atom_site_fract_y
_atom_site_fract_z
_atom_site_occupancy
Ti1 Ti 0.0000 0.0000 0.0000 1
B1 B 0.5000 0.5000 0.5000 1
Au1 Au 0.0000 0.0000 0.5000 1

---

[8]
# PBE-GGA TiBAu, relaxed
# total moment = 2.80 Bohr magnetons per cell
# calculated formation energy = -0.303 eV per atom
data_TiBAu
_chemical_formula_sum 'Ti4 B4 Au4'
_symmetry_space_group_name_H-M 'I m m a'
_symmetry_Int_Tables_number 74
_symmetry_space_group_name_Hall '-I 2b 2'
_cell_length_a 3.0602
_cell_length_b 4.6794
_cell_length_c 11.6640
_cell_angle_alpha 90.00
_cell_angle_beta 90.00
_cell_angle_gamma 90.00
loop_
_atom_site_label
_atom_site_type_symbol
_atom_site_fract_x
_atom_site_fract_y
_atom_site_fract_z
_atom_site_occupancy
Ti1 Ti 0.0000 0.2500 0.0773 1
B1 B 0.0000 0.2500 0.2788 1
Au1 Au 0.0000 0.2500 0.6313 1

---

[9]
# PBE-GGA TiBAu, relaxed
# total moment = 0.00 Bohr magnetons per cell
# calculated formation energy = -0.417 eV per atom
data_TiBAu
_chemical_formula_sum 'Ti4 B4 Au4'
_symmetry_space_group_name_H-M 'C 1 2/m 1'
_symmetry_Int_Tables_number 12
_cell_length_a 8.8428
_cell_length_b 3.2974
_cell_length_c 6.7119
_cell_angle_alpha 90.00
_cell_angle_beta 126.20
_cell_angle_gamma 90.00
loop_
_symmetry_equiv_pos_as_xyz
'x,y,z'
'-x,-y,-z'
'-x,y,-z'
'x,-y,z'
'x+1/2,y+1/2,z'
'-x+1/2,-y+1/2,-z'
'-x+1/2,y+1/2,-z'
'x+1/2,-y+1/2,z'
loop_
_atom_site_label
_atom_site_type_symbol
_atom_site_fract_x
_atom_site_fract_y
_atom_site_fract_z
_atom_site_occupancy
Ti1 Ti 0.0728 0.0000 0.3382 1
B1 B 0.1154 0.5000 0.6035 1
Au1 Au 0.1907 0.5000 0.1168 1

---

[10]
# PBE-GGA TiB3Au, relaxed
# total moment = 0.00 Bohr magnetons per cell
# calculated formation energy = 1.659 eV per atom
data_TiB3Au
_chemical_formula_sum 'Ti1 B3 Au1'
_symmetry_space_group_name_H-M 'P m -3 m'
_symmetry_Int_Tables_number 221
_symmetry_space_group_name_Hall '-P 4 2 3'
_cell_length_a 4.1524
_cell_length_b 4.1524
_cell_length_c 4.1524
_cell_angle_alpha 90.00
_cell_angle_beta 90.00
_cell_angle_gamma 90.00
loop_
_atom_site_label
_atom_site_type_symbol
_atom_site_fract_x
_atom_site_fract_y
_atom_site_fract_z
_atom_site_occupancy
Ti1 Ti 0.0000 0.0000 0.0000 1
B1 B 0.0000 0.0000 0.5000 1
Au1 Au 0.5000 0.5000 0.5000 1

---

[11]
# PBE-GGA TiBAu3, relaxed
# total moment = 1.70 Bohr magnetons per cell
# calculated formation energy = 0.221 eV per atom
data_TiBAu3
_chemical_formula_sum 'Ti1 B1 Au3'
_symmetry_space_group_name_H-M 'P m -3 m'
_symmetry_Int_Tables_number 221
_symmetry_space_group_name_Hall '-P 4 2 3'
_cell_length_a 4.3874
_cell_length_b 4.3874
_cell_length_c 4.3874
_cell_angle_alpha 90.00
_cell_angle_beta 90.00
_cell_angle_gamma 90.00
loop_
_atom_site_label
_atom_site_type_symbol
_atom_site_fract_x
_atom_site_fract_y
_atom_site_fract_z
_atom_site_occupancy
Ti1 Ti 0.0000 0.0000 0.0000 1
B1 B 0.5000 0.5000 0.5000 1
Au1 Au 0.0000 0.5000 0.5000 1

---

[12]
# PBE-GGA TiBAu, relaxed
# total moment = 0.00 Bohr magnetons per cell
# calculated formation energy = 0.247 eV per atom
data_TiBAu
_chemical_formula_sum 'Ti2 B2 Au2'
_symmetry_space_group_name_H-M 'P 63/m m c'
_symmetry_Int_Tables_number 194
_symmetry_space_group_name_Hall '-P 6c 2c'
_cell_length_a 4.2978
_cell_length_b 4.2978
_cell_length_c 5.1426
_cell_angle_alpha 90.00
_cell_angle_beta 90.00
_cell_angle_gamma 120.00
loop_
_atom_site_label
_atom_site_type_symbol
_atom_site_fract_x
_atom_site_fract_y
_atom_site_fract_z
_atom_site_occupancy
Ti1 Ti 0.3333 0.6667 0.2500 1
B1 B 0.3333 0.6667 0.7500 1
Au1 Au 0.0000 0.0000 0.0000 1

---

[13]
# PBE-GGA TiBAu, relaxed
# total moment = 0.00 Bohr magnetons per cell
# calculated formation energy = -0.184 eV per atom
data_TiBAu
_chemical_formula_sum 'Ti4 B4 Au4'
_symmetry_space_group_name_H-M 'C 1 m 1'
_symmetry_Int_Tables_number 8
_cell_length_a 10.2277
_cell_length_b 3.4183
_cell_length_c 5.4272
_cell_angle_alpha 90.00
_cell_angle_beta 117.75
_cell_angle_gamma 90.00
loop_
_symmetry_equiv_pos_as_xyz
'x,y,z'
'x,-y,z'
'x+1/2,y+1/2,z'
'x+1/2,-y+1/2,z'
loop_
_atom_site_label
_atom_site_type_symbol
_atom_site_fract_x
_atom_site_fract_y
_atom_site_fract_z
_atom_site_occupancy
Ti1 Ti 0.0000 0.0000 0.0000 1
Ti2 Ti 0.2124 0.0000 0.6214 1
B1 B 0.1224 0.5000 0.3117 1
B2 B 0.3169 0.5000 0.5208 1
Au1 Au 0.2390 0.5000 0.0422 1
Au2 Au 0.4582 0.0000 0.4865 1

---

[14]
# PBE-GGA TiBAu, relaxed
# total moment = 0.00 Bohr magnetons per cell
# calculated formation energy = -0.355 eV per atom
data_TiBAu
_chemical_formula_sum 'Ti4 B4 Au4'
_symmetry_space_group_name_H-M 'C 1 2/m 1'
_symmetry_Int_Tables_number 12
_cell_length_a 11.3056
_cell_length_b 3.1070
_cell_length_c 4.6421
_cell_angle_alpha 90.00
_cell_angle_beta 99.68
_cell_angle_gamma 90.00
loop_
_symmetry_equiv_pos_as_xyz
'x,y,z'
'-x,-y,-z'
'-x,y,-z'
'x,-y,z'
'x+1/2,y+1/2,z'
'-x+1/2,-y+1/2,-z'
'-x+1/2,y+1/2,-z'
'x+1/2,-y+1/2,z'
loop_
_atom_site_label
_atom_site_type_symbol
_atom_site_fract_x
_atom_site_fract_y
_atom_site_fract_z
_atom_site_occupancy
Ti1 Ti 0.1552 0.0000 0.3345 1
B1 B 0.2483 0.0000 0.9193 1
Au1 Au 0.0659 0.5000 0.7731 1

---

[15]
# PBE-GGA TiB3Au, relaxed
# total moment = 0.40 Bohr magnetons per cell
# calculated formation energy = 1.667 eV per atom
data_TiB3Au
_chemical_formula_sum 'Ti1 B3 Au1'
_symmetry_space_group_name_H-M 'P m -3 m'
_symmetry_Int_Tables_number 221
_symmetry_space_group_name_Hall '-P 4 2 3'
_cell_length_a 4.1289
_cell_length_b 4.1289
_cell_length_c 4.1289
_cell_angle_alpha 90.00
_cell_angle_beta 90.00
_cell_angle_gamma 90.00
loop_
_atom_site_label
_atom_site_type_symbol
_atom_site_fract_x
_atom_site_fract_y
_atom_site_fract_z
_atom_site_occupancy
Ti1 Ti 0.0000 0.0000 0.0000 1
B1 B 0.0000 0.5000 0.5000 1
Au1 Au 0.5000 0.5000 0.5000 1

---

[16]
# PBE-GGA Ti2B2Au, relaxed
# total moment = 0.00 Bohr magnetons per cell
# calculated formation energy = -0.527 eV per atom
data_Ti2B2Au
_chemical_formula_sum 'Ti4 B4 Au2'
_symmetry_space_group_name_H-M 'P 4/m b m'
_symmetry_Int_Tables_number 127
_symmetry_space_group_name_Hall '-P 4 2ab'
_cell_length_a 5.7983
_cell_length_b 5.7983
_cell_length_c 3.5371
_cell_angle_alpha 90.00
_cell_angle_beta 90.00
_cell_angle_gamma 90.00
loop_
_atom_site_label
_atom_site_type_symbol
_atom_site_fract_x
_atom_site_fract_y
_atom_site_fract_z
_atom_site_occupancy
Ti1 Ti 0.1684 0.3316 0.0000 1
B1 B 0.1079 0.6079 0.5000 1
Au1 Au 0.0000 0.0000 0.5000 1

---

[17]
# PBE-GGA Ti2BAu, relaxed
# total moment = 0.00 Bohr magnetons per cell
# calculated formation energy = 0.046 eV per atom
data_Ti2BAu
_chemical_formula_sum 'Ti8 B4 Au4'
_symmetry_space_group_name_H-M 'I -4 2 d'
_symmetry_Int_Tables_number 122
_symmetry_space_group_name_Hall 'I -4 2bw'
_cell_length_a 6.6769
_cell_length_b 6.6769
_cell_length_c 5.5136
_cell_angle_alpha 90.00
_cell_angle_beta 90.00
_cell_angle_gamma 90.00
loop_
_atom_site_label
_atom_site_type_symbol
_atom_site_fract_x
_atom_site_fract_y
_atom_site_fract_z
_atom_site_occupancy
Ti1 Ti 0.1838 0.2500 0.1250 1
B1 B 0.0000 0.0000 0.0000 1
Au1 Au 0.0000 0.0000 0.5000 1

---

[18]
# PBE-GGA TiBAu, relaxed
# total moment = 0.00 Bohr magnetons per cell
# calculated formation energy = -0.650 eV per atom
data_TiBAu
_chemical_formula_sum 'Ti6 B6 Au6'
_symmetry_space_group_name_H-M 'R 3 m'
_symmetry_Int_Tables_number 160
_symmetry_space_group_name_Hall 'R 3 -2"'
_cell_length_a 3.0450
_cell_length_b 3.0450
_cell_length_c 29.8092
_cell_angle_alpha 90.00
_cell_angle_beta 90.00
_cell_angle_gamma 120.00
loop_
_atom_site_label
_atom_site_type_symbol
_atom_site_fract_x
_atom_site_fract_y
_atom_site_fract_z
_atom_site_occupancy
Ti1 Ti 0.0000 0.0000 0.0000 1
Ti2 Ti 0.0000 0.0000 0.1043 1
B1 B 0.0000 0.0000 0.3855 1
B2 B 0.0000 0.0000 0.7188 1
Au1 Au 0.0000 0.0000 0.2601 1
Au2 Au 0.0000 0.0000 0.5112 1

---

[19]
# PBE-GGA TiBAu, relaxed
# total moment = 0.00 Bohr magnetons per cell
# calculated formation energy = 0.428 eV per atom
data_TiBAu
_chemical_formula_sum 'Ti2 B2 Au2'
_symmetry_space_group_name_H-M 'P 63/m m c'
_symmetry_Int_Tables_number 194
_symmetry_space_group_name_Hall '-P 6c 2c'
_cell_length_a 3.6408
_cell_length_b 3.6408
_cell_length_c 8.7528
_cell_angle_alpha 90.00
_cell_angle_beta 90.00
_cell_angle_gamma 120.00
loop_
_atom_site_label
_atom_site_type_symbol
_atom_site_fract_x
_atom_site_fract_y
_atom_site_fract_z
_atom_site_occupancy
Ti1 Ti 0.0000 0.0000 0.0000 1
B1 B 0.0000 0.0000 0.2500 1
Au1 Au 0.3333 0.6667 0.2500 1

---

[20]
# PBE-GGA TiBAu, relaxed
# total moment = 0.00 Bohr magnetons per cell
# calculated formation energy = -0.668 eV per atom
data_TiBAu
_chemical_formula_sum 'Ti4 B4 Au4'
_symmetry_space_group_name_H-M 'C m c m'
_symmetry_Int_Tables_number 63
_symmetry_space_group_name_Hall '-C 2c 2'
_cell_length_a 3.3862
_cell_length_b 14.6992
_cell_length_c 3.1001
_cell_angle_alpha 90.00
_cell_angle_beta 90.00
_cell_angle_gamma 90.00
loop_
_atom_site_label
_atom_site_type_symbol
_atom_site_fract_x
_atom_site_fract_y
_atom_site_fract_z
_atom_site_occupancy
Ti1 Ti 0.0000 0.0813 0.2500 1
B1 B 0.0000 0.4713 0.2500 1
Au1 Au 0.0000 0.3087 0.2500 1